No. 1
VASP calculation (GGA-PBE) on an optimized crystal structure of YAl2Cu2.

The structure belongs to space group I4/mmm (No. 139); the cell edges are 4.028, 4.028 and 10.726 Å and the angles 90.00°, 90.00° and 90.00°. The asymmetric unit holds Y at (0.000, 0.000, 0.000), Al at (0.000, 0.500, 0.250) and Cu at (0.000, 0.000, 0.387).

Its total magnetization is 0.00 μB/f.u. Its formation energy is -0.43 eV/atom. For the density of states at the Fermi level, the calculation gives 4.75 states/eV/cell.

---

No. 2
VASP calculation (GGA-PBE) on an optimized crystal structure of YAlCu2.

The structure belongs to space group Cm (No. 8); the cell edges are 7.211, 4.147 and 5.516 Å and the angles 90.00°, 115.52° and 90.00°. The asymmetric unit holds Y at (0.000, 0.000, 0.000), Al at (0.298, 0.500, 0.395), Cu at (0.005, 0.500, 0.517) and Cu at (0.205, 0.000, 0.615).

Its total magnetization is 0.00 μB/f.u. Its formation energy is -0.25 eV/atom. For the density of states at the Fermi level, the calculation gives 6.03 states/eV/cell.

---

No. 3
VASP calculation (GGA-PBE) on an optimized crystal structure of YAl12Cu4.

The structure belongs to space group Im-3 (No. 204); the cell edges are 8.576, 8.576 and 8.576 Å and the angles 90.00°, 90.00° and 90.00°. The asymmetric unit holds Y at (0.000, 0.000, 0.000), Al at (0.000, 0.164, 0.341) and Cu at (0.250, 0.250, 0.250).

Its total magnetization is 0.00 μB/f.u. Its formation energy is 0.06 eV/atom. For the density of states at the Fermi level, the calculation gives 8.33 states/eV/cell.

---

No. 4
VASP calculation (GGA-PBE) on an optimized crystal structure of Y6AlCu2.

The structure belongs to space group Immm (No. 71); the cell edges are 9.405, 9.820 and 10.173 Å and the angles 90.00°, 90.00° and 90.00°. The asymmetric unit holds Y at (0.000, 0.191, 0.241), Y at (0.196, 0.500, 0.175), Y at (0.221, 0.318, 0.500), Al at (0.000, 0.000, 0.000), Al at (0.000, 0.000, 0.500), Cu at (0.000, 0.338, 0.000) and Cu at (0.000, 0.500, 0.381).

Its total magnetization is 0.00 μB/f.u. Its formation energy is -0.22 eV/atom. For the density of states at the Fermi level, the calculation gives 31.89 states/eV/cell.

---

No. 5
VASP calculation (GGA-PBE) on an optimized crystal structure of YAlCu2.

The structure belongs to space group P4/mmm (No. 123); the cell edges are 4.474, 4.474 and 3.518 Å and the angles 90.00°, 90.00° and 90.00°. The asymmetric unit holds Y at (0.000, 0.000, 0.000), Al at (0.500, 0.500, 0.000) and Cu at (0.000, 0.500, 0.500).

Its total magnetization is 0.00 μB/f.u. Its formation energy is -0.14 eV/atom. For the density of states at the Fermi level, the calculation gives 1.80 states/eV/cell.

---

No. 6
VASP calculation (GGA-PBE) on an optimized crystal structure of Y3Al3Cu2.

The structure belongs to space group Pnma (No. 62); the cell edges are 8.001, 14.722 and 5.715 Å and the angles 90.00°, 90.00° and 90.00°. The asymmetric unit holds Y at (0.036, 0.111, 0.122), Y at (0.182, 0.250, 0.617), Al at (0.172, 0.750, 0.603), Al at (0.187, 0.037, 0.610) and Cu at (0.100, 0.605, 0.377).

Its total magnetization is 0.00 μB/f.u. Its formation energy is -0.40 eV/atom. For the density of states at the Fermi level, the calculation gives 34.52 states/eV/cell.

---

No. 7
VASP calculation (GGA-PBE) on an optimized crystal structure of Y12AlCu6.

The structure belongs to space group Im-3 (No. 204); the cell edges are 9.867, 9.867 and 9.867 Å and the angles 90.00°, 90.00° and 90.00°. The asymmetric unit holds Y at (0.000, 0.296, 0.187), Al at (0.000, 0.000, 0.000) and Cu at (0.000, 0.124, 0.500).

Its total magnetization is 0.00 μB/f.u. Its formation energy is -0.20 eV/atom. For the density of states at the Fermi level, the calculation gives 23.14 states/eV/cell.

---

No. 8
VASP calculation (GGA-PBE) on an optimized crystal structure of Y2Al3Cu2.

The structure belongs to space group C2/m (No. 12); the cell edges are 10.337, 4.170 and 6.828 Å and the angles 90.00°, 116.15° and 90.00°. The asymmetric unit holds Y at (0.145, 0.000, 0.281), Al at (0.000, 0.500, 0.500), Al at (0.120, 0.500, 0.937) and Cu at (0.141, 0.000, 0.727).

Its total magnetization is 0.00 μB/f.u. Its formation energy is -0.44 eV/atom. For the density of states at the Fermi level, the calculation gives 6.75 states/eV/cell.